Here is DyYSn2 after structural relaxation from Alexandria via LeMat-Bulk. Energies are from PBE.

Cell: 4.3088 6.1373 6.1373 Å, 42.93 90.00 90.00°
Positions (direct):
Dy 0.0000 0.0000 0.0000
Y 0.5000 0.2681 0.2681
Sn 0.0000 0.7277 0.7277
Sn 0.5000 0.5404 0.5404

Properties
E_tot: -5.51 eV per atom
SG: Amm2
DOS at the Fermi energy: 2.7 states/eV/f.u.
Total magnetic moment: 0.00 Bohr magnetons per cell

Here is DyYSn after structural relaxation from Alexandria via LeMat-Bulk. Energies are from PBE.

Cell: 6.1401 6.1401 8.7768 Å, 90.87 90.87 33.43°
Positions (direct):
Dy 0.1373 0.1373 0.4105
Dy 0.8627 0.8627 0.5895
Y 0.1403 0.1403 0.8248
Y 0.8597 0.8597 0.1752
Sn 0.4045 0.4045 0.8794
Sn 0.5955 0.5955 0.1206

Properties
ΔE to the lowest computed polymorph: 0.11 eV per formula unit
SG: C2/m
DOS at the Fermi energy: 3.4 states/eV/f.u.
Total magnetic moment: 0.00 Bohr magnetons per cell

Here is DyYSn2 after structural relaxation from Alexandria via LeMat-Bulk. Energies are from PBE.

Cell: 4.2922 6.1422 8.3723 Å, 90.00 90.00 90.00°
Positions (direct):
Dy 0.0000 0.1254 0.0000
Dy 0.0000 0.8746 0.5000
Y 0.5000 0.3748 0.3654
Y 0.5000 0.6252 0.8654
Sn 0.0000 0.4083 0.6388
Sn 0.0000 0.5917 0.1388
Sn 0.5000 0.0915 0.7266
Sn 0.5000 0.9085 0.2266

Properties
E_tot: -5.50 eV per atom
SG: Pmc2_1
DOS at the Fermi energy: 2.7 states/eV/f.u.
Total magnetic moment: 0.00 Bohr magnetons per cell

Here is DyY2Sn after structural relaxation from Alexandria via LeMat-Bulk. Energies are from PBE.

Cell: 12.0948 12.0948 12.0948 Å, 16.74 16.74 16.74°
Positions (direct):
Dy 0.0000 0.0000 0.0000
Y 0.4131 0.4131 0.4131
Y 0.5869 0.5869 0.5869
Sn 0.5000 0.5000 0.5000

Properties
ΔE to the lowest computed polymorph: 1.86 eV per formula unit
SG: R-3m
DOS at the Fermi energy: 4.3 states/eV/f.u.
Total magnetic moment: 0.00 Bohr magnetons per cell

Here is Dy2YSn after structural relaxation from Alexandria via LeMat-Bulk. Energies are from PBE.

Cell: 12.1057 12.1057 12.1057 Å, 16.69 16.69 16.69°
Positions (direct):
Dy 0.0869 0.0869 0.0869
Dy 0.9131 0.9131 0.9131
Y 0.5000 0.5000 0.5000
Sn 0.0000 0.0000 0.0000

Properties
ΔE to the lowest computed polymorph: 1.87 eV per formula unit
SG: R-3m
DOS at the Fermi energy: 4.2 states/eV/f.u.
Total magnetic moment: 0.00 Bohr magnetons per cell

Here is DyY2Sn2 after structural relaxation from Alexandria via LeMat-Bulk. Energies are from PBE.

Cell: 9.4172 9.4172 6.4937 Å, 90.00 90.00 149.58°
Positions (direct):
Dy 0.1059 0.8941 0.5000
Dy 0.8941 0.1059 0.0000
Y 0.3106 0.6894 0.5018
Y 0.4997 0.5003 0.2505
Y 0.5003 0.4997 0.7505
Y 0.6894 0.3106 0.0018
Sn 0.0740 0.9260 0.0004
Sn 0.3032 0.6968 0.0020
Sn 0.6968 0.3032 0.5020
Sn 0.9260 0.0740 0.5004

Properties
E_tot: -5.74 eV per atom
SG: Cmc2_1
DOS at the Fermi energy: 3.3 states/eV/f.u.
Total magnetic moment: 0.00 Bohr magnetons per cell

Here is DyYSn after structural relaxation from Alexandria via LeMat-Bulk. Energies are from PBE.

Cell: 9.0361 9.0361 9.0361 Å, 158.66 158.66 30.36°
Positions (direct):
Dy 0.0000 0.0000 0.0000
Y 0.1984 0.1984 0.0000
Sn 0.3742 0.3742 0.0000

Properties
ΔE to the lowest computed polymorph: 1.58 eV per formula unit
SG: I4mm
DOS at the Fermi energy: 4.0 states/eV/f.u.
Total magnetic moment: 0.98 Bohr magnetons per cell

Here is Dy2YSn after structural relaxation from Alexandria via LeMat-Bulk. Energies are from PBE.

Cell: 4.7946 4.7946 4.8407 Å, 90.00 90.00 90.00°
Positions (direct):
Dy 0.0000 0.5000 0.0000
Dy 0.5000 0.0000 0.0000
Y 0.0000 0.0000 0.5000
Sn 0.5000 0.5000 0.5000

Properties
ΔE to the lowest computed polymorph: 0.00 eV per formula unit
SG: P4/mmm
DOS at the Fermi energy: 4.5 states/eV/f.u.
Total magnetic moment: 0.00 Bohr magnetons per cell

What did the seventh record say?
Here is DyYSn after structural relaxation from Alexandria via LeMat-Bulk. Energies are from PBE.

Cell: 9.0361 9.0361 9.0361 Å, 158.66 158.66 30.36°
Positions (direct):
Dy 0.0000 0.0000 0.0000
Y 0.1984 0.1984 0.0000
Sn 0.3742 0.3742 0.0000

Properties
ΔE to the lowest computed polymorph: 1.58 eV per formula unit
SG: I4mm
DOS at the Fermi energy: 4.0 states/eV/f.u.
Total magnetic moment: 0.98 Bohr magnetons per cell